1.
Below is a relaxed structure of K3Zr2UTe6, with properties calculated at the PBE-GGA level.

```
data_K3Zr2UTe6
_chemical_formula_sum 'K6 Zr4 U2 Te12'
_cell_length_a 7.428
_cell_length_b 12.888
_cell_length_c 8.743
_cell_angle_alpha 90.00
_cell_angle_beta 106.52
_cell_angle_gamma 90.00
_space_group_name_H-M_alt 'C 1 2/m 1'
_space_group_IT_number 12
_space_group_name_Hall '-C 2y'
loop_
_atom_site_label
_atom_site_fract_x
_atom_site_fract_y
_atom_site_fract_z
_atom_site_occupancy
K1 0.000 0.000 0.000 1
K2 0.000 0.338 0.000 1
Zr1 0.000 0.168 0.500 1
U1 0.000 0.500 0.500 1
Te1 0.222 0.000 0.705 1
Te2 0.243 0.327 0.708 1
```

density: 5.4 Mg/m³
crystal system: monoclinic

=====

2.
Below is a relaxed structure of PmGdMnIn, with properties calculated at the PBE-GGA level.

```
data_PmGdMnIn
_chemical_formula_sum 'Pm4 Gd4 Mn4 In4'
_cell_length_a 7.498
_cell_length_b 7.498
_cell_length_c 7.498
_cell_angle_alpha 90.00
_cell_angle_beta 90.00
_cell_angle_gamma 90.00
_space_group_name_H-M_alt 'F -4 3 m'
_space_group_IT_number 216
_space_group_name_Hall 'F -4 2 3'
loop_
_atom_site_label
_atom_site_fract_x
_atom_site_fract_y
_atom_site_fract_z
_atom_site_occupancy
Pm1 0.000 0.000 0.000 1
Gd1 0.000 0.000 0.500 1
Mn1 0.250 0.250 0.250 1
In1 0.250 0.250 0.750 1
```

density: 7.4 Mg/m³
crystal system: cubic
E_form: -0.0527 eV per atom

=====

3.
Below is a relaxed structure of MnCd4W, with properties calculated at the PBE-GGA level.

```
data_MnCd4W
_chemical_formula_sum 'Mn4 Cd16 W4'
_cell_length_a 7.809
_cell_length_b 7.809
_cell_length_c 7.809
_cell_angle_alpha 90.00
_cell_angle_beta 90.00
_cell_angle_gamma 90.00
_space_group_name_H-M_alt 'F -4 3 m'
_space_group_IT_number 216
_space_group_name_Hall 'F -4 2 3'
loop_
_atom_site_label
_atom_site_fract_x
_atom_site_fract_y
_atom_site_fract_z
_atom_site_occupancy
Mn1 0.000 0.000 0.000 1
Cd1 0.125 0.125 0.375 1
W1 0.250 0.250 0.750 1
```

density: 9.6 Mg/m³
crystal system: cubic
E_form: 0.7703 eV per atom

=====

These records have total magnetic moment values of 4.270 10.569 1.378 μB/f.u., in the order they appear.
These records have total energy values of -5.132 -7.738 -3.527 eV per atom, in the order they appear.
These records have volume values of 33.4 26.3 19.8 Å³ per atom, in the order they appear.